Entry 1:
PBE-GGA Ta3Se, optimized geometry; calculated density = 14.41 g cm⁻³; volume = 143.3 Å³/cell; total energy = -9.5282 eV per atom; formation energy from raw total energies = 0.232 eV per atom
1.0
-1.0176 0.3012 5.6934
-3.8304 -2.5813 -3.4937
2.3167 -4.3066 0.6419
Ta Se
6 2
direct
0.8392 0.6784 0.2500
0.3216 0.1608 0.2500
0.8392 0.1608 0.2500
0.1608 0.3216 0.7500
0.6784 0.8392 0.7500
0.1608 0.8392 0.7500
0.3333 0.6667 0.2500
0.6667 0.3333 0.7500

***

Entry 2:
PBE-GGA TaSe2, optimized geometry; calculated density = 8.47 g cm⁻³; volume = 66.5 Å³/cell; total energy = -6.8253 eV per atom; formation energy from raw total energies = -0.551 eV per atom
1.0
-1.5848 1.5848 6.6159
1.5848 -1.5848 6.6159
1.5848 1.5848 -6.6159
Ta Se
1 2
direct
0.0000 0.0000 0.0000
0.6205 0.6205 0.0000
0.3795 0.3795 0.0000

***

Entry 3:
PBE-GGA TaSe3, optimized geometry; calculated density = 7.39 g cm⁻³; volume = 93.9 Å³/cell; total energy = -5.7217 eV per atom; formation energy from raw total energies = -0.145 eV per atom
1.0
6.8609 0.0163 0.0019
4.5164 5.1647 -0.0019
-5.2851 -3.4766 2.6557
Se Ta
3 1
direct
0.0851 0.0851 0.0000
0.7500 0.2500 0.5000
0.4149 0.4149 0.0000
0.2500 0.7500 0.5000

***

Entry 4:
PBE-GGA TaSe2, optimized geometry; calculated density = 7.95 g cm⁻³; volume = 70.7 Å³/cell; total energy = -7.0669 eV per atom; formation energy from raw total energies = -0.793 eV per atom
1.0
3.4894 0.0000 0.0000
-1.7447 3.0219 0.0000
0.0000 0.0000 6.7084
Se Ta
2 1
direct
0.6667 0.3333 0.7518
0.3333 0.6667 0.2482
0.0000 0.0000 0.0000

***

Entry 5:
PBE-GGA Ta2Se, optimized geometry; calculated density = 13.91 g cm⁻³; volume = 105.3 Å³/cell; total energy = -9.0512 eV per atom; formation energy from raw total energies = 0.012 eV per atom
1.0
-2.9730 2.9730 2.9773
2.9730 -2.9730 2.9773
2.9730 2.9730 -2.9773
Ta Se
4 2
direct
0.3332 0.8332 0.1664
0.6668 0.1668 0.8336
0.1668 0.3332 0.5000
0.8332 0.6668 0.5000
0.2500 0.2500 0.0000
0.7500 0.7500 0.0000

***

Entry 6:
PBE-GGA Ta5Se4, optimized geometry; calculated density = 12.61 g cm⁻³; volume = 321.4 Å³/cell; total energy = -8.0268 eV per atom; formation energy from raw total energies = 0.107 eV per atom
1.0
7.5388 0.0000 0.0000
-3.7694 6.5288 0.0000
0.0000 0.0000 6.5295
Se Ta
8 10
direct
0.0000 0.0000 0.0000
0.0000 0.0000 0.5000
0.0000 0.3940 0.2500
0.6060 0.6060 0.2500
0.3940 0.0000 0.2500
0.0000 0.6060 0.7500
0.3940 0.3940 0.7500
0.6060 0.0000 0.7500
0.0000 0.7192 0.2500
0.2808 0.2808 0.2500
0.7192 0.0000 0.2500
0.0000 0.2808 0.7500
0.7192 0.7192 0.7500
0.2808 0.0000 0.7500
0.6667 0.3333 0.0000
0.3333 0.6667 0.5000
0.3333 0.6667 0.0000
0.6667 0.3333 0.5000

***

Entry 7:
PBE-GGA Ta2Se3, optimized geometry; calculated density = 9.76 g cm⁻³; volume = 203.7 Å³/cell; total energy = -7.5714 eV per atom; formation energy from raw total energies = -0.740 eV per atom
1.0
-3.1417 -1.2971 -0.2816
1.5353 -2.4169 -5.9963
3.3424 -8.4735 1.7409
Se Ta
6 4
direct
0.2500 0.4774 0.7939
0.7500 0.5226 0.2061
0.2500 0.0275 0.1572
0.7500 0.9725 0.8428
0.2500 0.2723 0.5143
0.7500 0.7277 0.4857
0.2500 0.6799 0.0005
0.7500 0.3201 0.9995
0.2500 0.8863 0.6354
0.7500 0.1137 0.3646

***

Entry 8:
PBE-GGA Ta4Se5, optimized geometry; calculated density = 11.09 g cm⁻³; volume = 334.9 Å³/cell; total energy = -7.1900 eV per atom; formation energy from raw total energies = 0.014 eV per atom
1.0
7.6172 0.0000 0.0000
-3.8086 6.5967 0.0000
0.0000 0.0000 6.6657
Se Ta
10 8
direct
0.0000 0.7393 0.2500
0.2607 0.2607 0.2500
0.7393 0.0000 0.2500
0.0000 0.2607 0.7500
0.7393 0.7393 0.7500
0.2607 0.0000 0.7500
0.6667 0.3333 0.0000
0.3333 0.6667 0.5000
0.3333 0.6667 0.0000
0.6667 0.3333 0.5000
0.0000 0.0000 0.0000
0.0000 0.0000 0.5000
0.0000 0.4048 0.2500
0.5952 0.5952 0.2500
0.4048 0.0000 0.2500
0.0000 0.5952 0.7500
0.4048 0.4048 0.7500
0.5952 0.0000 0.7500